Computed, not measured: Cs2NaPa2Se7 after structural relaxation at the PBE-GGA level of DFT.

- magnetization (μB per cell) = 0.0
- final energy (eV/atom) = -5.112
- DOS at the Fermi energy (states/eV/f.u.) = 5.6
- symmetry = I4/mmm

a = 15.061 Å, b = 15.061 Å, c = 15.061 Å
α = 158.82°, β = 158.82°, γ = 30.13°
Positions (direct):
Cs 0.185 0.185 0.000
Cs 0.815 0.815 0.000
Na 0.000 0.000 0.000
Pa 0.405 0.405 0.000
Pa 0.595 0.595 0.000
Se 0.088 0.588 0.500
Se 0.314 0.314 0.000
Se 0.412 0.912 0.500
Se 0.500 0.500 0.000
Se 0.588 0.088 0.500
Se 0.686 0.686 0.000
Se 0.912 0.412 0.500



Computed, not measured: AgSeS3 after structural relaxation at the PBE-GGA level of DFT.

- polymorph energy (0 for the lowest one) (meV/atom) = 947
- magnetization (μB per cell) = 0.0
- final energy (eV/atom) = -2.697
- DOS at the Fermi energy (states/eV/f.u.) = 6.1
- symmetry = Pm-3m

a = 4.788 Å, b = 4.788 Å, c = 4.788 Å
α = 90.00°, β = 90.00°, γ = 90.00°
Positions (direct):
Ag 0.000 0.000 0.000
Se 0.500 0.500 0.500
S 0.000 0.000 0.500
S 0.000 0.500 0.000
S 0.500 0.000 0.000



Computed, not measured: DyEr3Tm5 after structural relaxation at the PBE-GGA level of DFT.

- polymorph energy (0 for the lowest one) (meV/atom) = 0
- magnetization (μB per cell) = 0.0
- energy of formation (eV/atom) = 0.24
- final energy (eV/atom) = -4.278
- DOS at the Fermi energy (states/eV/f.u.) = 14.8
- symmetry = C2/c

a = 9.096 Å, b = 9.096 Å, c = 10.832 Å
α = 125.86°, β = 125.86°, γ = 57.52°
Positions (direct):
Dy 0.172 0.828 0.750
Dy 0.828 0.172 0.250
Er 0.247 0.320 0.532
Er 0.320 0.247 0.032
Er 0.500 0.500 0.000
Er 0.500 0.500 0.500
Er 0.680 0.753 0.968
Er 0.753 0.680 0.468
Tm 0.022 0.785 0.385
Tm 0.034 0.602 0.837
Tm 0.215 0.978 0.115
Tm 0.268 0.732 0.250
Tm 0.398 0.966 0.663
Tm 0.602 0.034 0.337
Tm 0.732 0.268 0.750
Tm 0.785 0.022 0.885
Tm 0.966 0.398 0.163
Tm 0.978 0.215 0.615



Computed, not measured: Ba4MgSe after structural relaxation at the PBE-GGA level of DFT.

- magnetization (μB per cell) = 1.6
- final energy (eV/atom) = -1.948
- DOS at the Fermi energy (states/eV/f.u.) = 7.9
- symmetry = F-43m

a = 7.326 Å, b = 7.326 Å, c = 7.326 Å
α = 60.00°, β = 60.00°, γ = 60.00°
Positions (direct):
Ba 0.376 0.376 0.376
Ba 0.376 0.376 0.872
Ba 0.376 0.872 0.376
Ba 0.872 0.376 0.376
Mg 0.000 0.000 0.000
Se 0.750 0.750 0.750



Computed, not measured: Er2MgCu6 after structural relaxation at the PBE-GGA level of DFT.

- magnetization (μB per cell) = 0.0
- energy of formation (eV/atom) = -0.15
- final energy (eV/atom) = -4.073
- DOS at the Fermi energy (states/eV/f.u.) = 4.0
- symmetry = C2/m

a = 5.702 Å, b = 5.702 Å, c = 5.385 Å
α = 90.09°, β = 90.09°, γ = 59.79°
Positions (direct):
Er 0.167 0.167 0.156
Er 0.833 0.833 0.844
Mg 0.500 0.500 0.000
Cu 0.127 0.686 0.344
Cu 0.312 0.312 0.656
Cu 0.314 0.873 0.656
Cu 0.686 0.127 0.344
Cu 0.688 0.688 0.344
Cu 0.873 0.314 0.656



Computed, not measured: Cr3CoTc after structural relaxation at the PBE-GGA level of DFT.

- polymorph energy (0 for the lowest one) (meV/atom) = 0
- magnetization (μB per cell) = 0.0
- energy of formation (eV/atom) = 1.28
- final energy (eV/atom) = -7.991
- DOS at the Fermi energy (states/eV/f.u.) = 8.5
- symmetry = Pm-3m

a = 4.143 Å, b = 4.143 Å, c = 4.143 Å
α = 90.00°, β = 90.00°, γ = 90.00°
Positions (direct):
Cr 0.000 0.000 0.500
Cr 0.000 0.500 0.000
Cr 0.500 0.000 0.000
Co 0.000 0.000 0.000
Tc 0.500 0.500 0.500



Computed, not measured: Ag2TeAsS4 after structural relaxation at the PBE-GGA level of DFT.

- magnetization (μB per cell) = 0.0
- final energy (eV/atom) = -3.762
- DOS at the Fermi energy (states/eV/f.u.) = 2.5
- symmetry = P1

a = 5.557 Å, b = 6.713 Å, c = 6.869 Å
α = 65.39°, β = 78.94°, γ = 66.16°
Positions (direct):
Ag 0.000 0.000 0.000
Ag 0.407 0.546 0.666
Te 0.812 0.621 0.087
As 0.676 0.068 0.482
S 0.037 0.799 0.402
S 0.153 0.331 0.986
S 0.503 0.821 0.793
S 0.834 0.234 0.627



Computed, not measured: SiTcHg3 after structural relaxation at the PBE-GGA level of DFT.

- polymorph energy (0 for the lowest one) (meV/atom) = 0
- magnetization (μB per cell) = 4.0
- final energy (eV/atom) = -2.203
- DOS at the Fermi energy (states/eV/f.u.) = 3.9
- symmetry = Pm-3m

a = 5.041 Å, b = 5.041 Å, c = 5.041 Å
α = 90.00°, β = 90.00°, γ = 90.00°
Positions (direct):
Si 0.000 0.000 0.000
Tc 0.500 0.500 0.500
Hg 0.000 0.000 0.500
Hg 0.000 0.500 0.000
Hg 0.500 0.000 0.000



Computed, not measured: CsK2GaF6 after structural relaxation at the PBE-GGA level of DFT.

- magnetization (μB per cell) = 0.0
- final energy (eV/atom) = -4.447
- DOS at the Fermi energy (states/eV/f.u.) = 0.0
- symmetry = Fm-3m

a = 6.611 Å, b = 6.611 Å, c = 6.611 Å
α = 60.00°, β = 60.00°, γ = 60.00°
Positions (direct):
Cs 0.000 0.000 0.000
K 0.250 0.250 0.250
K 0.750 0.750 0.750
Ga 0.500 0.500 0.500
F 0.294 0.294 0.706
F 0.294 0.706 0.294
F 0.294 0.706 0.706
F 0.706 0.294 0.294
F 0.706 0.294 0.706
F 0.706 0.706 0.294



Computed, not measured: ScCr2Pt after structural relaxation at the PBE-GGA level of DFT.

- magnetization (μB per cell) = 0.4
- energy of formation (eV/atom) = 0.03
- final energy (eV/atom) = -7.880
- DOS at the Fermi energy (states/eV/f.u.) = 5.1
- symmetry = P2/m

a = 2.809 Å, b = 4.616 Å, c = 4.752 Å
α = 90.00°, β = 97.54°, γ = 90.00°
Positions (direct):
Sc 0.000 0.000 0.000
Cr 0.329 0.500 0.789
Cr 0.671 0.500 0.211
Pt 0.500 0.000 0.500



Computed, not measured: La6Y4Ho after structural relaxation at the PBE-GGA level of DFT.

- polymorph energy (0 for the lowest one) (meV/atom) = 0
- magnetization (μB per cell) = 0.0
- energy of formation (eV/atom) = 0.10
- final energy (eV/atom) = -5.350
- DOS at the Fermi energy (states/eV/f.u.) = 19.2
- symmetry = Cmcm

a = 5.773 Å, b = 5.773 Å, c = 26.367 Å
α = 90.00°, β = 90.00°, γ = 118.19°
Positions (direct):
La 0.000 0.000 0.000
La 0.000 0.000 0.500
La 0.041 0.959 0.750
La 0.310 0.690 0.100
La 0.310 0.690 0.400
La 0.366 0.634 0.683
La 0.366 0.634 0.817
La 0.634 0.366 0.183
La 0.634 0.366 0.317
La 0.690 0.310 0.600
La 0.690 0.310 0.900
La 0.959 0.041 0.250
Y 0.030 0.970 0.625
Y 0.030 0.970 0.875
Y 0.345 0.655 0.546
Y 0.345 0.655 0.954
Y 0.655 0.345 0.046
Y 0.655 0.345 0.454
Y 0.970 0.030 0.125
Y 0.970 0.030 0.375
Ho 0.298 0.702 0.250
Ho 0.702 0.298 0.750



Computed, not measured: Ba2Hg3Pd4Au after structural relaxation at the PBE-GGA level of DFT.

- magnetization (μB per cell) = 0.0
- energy of formation (eV/atom) = -0.42
- final energy (eV/atom) = -3.299
- DOS at the Fermi energy (states/eV/f.u.) = 2.5
- symmetry = P-4m2

a = 4.556 Å, b = 4.556 Å, c = 11.882 Å
α = 90.00°, β = 90.00°, γ = 90.00°
Positions (direct):
Ba 0.000 0.500 0.246
Ba 0.500 0.000 0.754
Hg 0.000 0.000 0.000
Hg 0.000 0.500 0.634
Hg 0.500 0.000 0.366
Pd 0.000 0.000 0.500
Pd 0.000 0.500 0.862
Pd 0.500 0.000 0.138
Pd 0.500 0.500 0.500
Au 0.500 0.500 0.000



Computed, not measured: K2BaCr after structural relaxation at the PBE-GGA level of DFT.

- polymorph energy (0 for the lowest one) (meV/atom) = 132
- magnetization (μB per cell) = 5.0
- energy of formation (eV/atom) = 0.67
- final energy (eV/atom) = -2.770
- DOS at the Fermi energy (states/eV/f.u.) = 3.6
- symmetry = P2/m

a = 4.404 Å, b = 7.012 Å, c = 6.474 Å
α = 90.00°, β = 95.06°, γ = 90.00°
Positions (direct):
K 0.213 0.000 0.274
K 0.787 0.000 0.726
Ba 0.500 0.500 0.000
Cr 0.000 0.500 0.500



Computed, not measured: Dy8Hg2Au after structural relaxation at the PBE-GGA level of DFT.

- polymorph energy (0 for the lowest one) (meV/atom) = 107
- magnetization (μB per cell) = 0.0
- energy of formation (eV/atom) = -0.19
- final energy (eV/atom) = -3.893
- DOS at the Fermi energy (states/eV/f.u.) = 12.9
- symmetry = Immm

a = 9.252 Å, b = 9.252 Å, c = 9.252 Å
α = 146.59°, β = 134.68°, γ = 57.46°
Positions (direct):
Dy 0.133 0.365 0.768
Dy 0.191 0.191 0.000
Dy 0.249 0.000 0.249
Dy 0.403 0.635 0.768
Dy 0.597 0.365 0.232
Dy 0.751 0.000 0.751
Dy 0.809 0.809 0.000
Dy 0.867 0.635 0.232
Hg 0.313 0.813 0.500
Hg 0.687 0.187 0.500
Au 0.000 0.500 0.500



Computed, not measured: Hf12Bi5C2 after structural relaxation at the PBE-GGA level of DFT.

- magnetization (μB per cell) = 0.0
- energy of formation (eV/atom) = -0.05
- final energy (eV/atom) = -8.331
- DOS at the Fermi energy (states/eV/f.u.) = 15.7
- symmetry = C2/m

a = 8.919 Å, b = 8.919 Å, c = 8.426 Å
α = 105.27°, β = 105.27°, γ = 45.46°
Positions (direct):
Hf 0.002 0.002 0.171
Hf 0.092 0.632 0.920
Hf 0.153 0.590 0.489
Hf 0.368 0.908 0.080
Hf 0.410 0.847 0.511
Hf 0.496 0.496 0.806
Hf 0.504 0.504 0.194
Hf 0.590 0.153 0.489
Hf 0.632 0.092 0.920
Hf 0.847 0.410 0.511
Hf 0.908 0.368 0.080
Hf 0.998 0.998 0.829
Bi 0.000 0.000 0.500
Bi 0.266 0.266 0.659
Bi 0.309 0.309 0.160
Bi 0.691 0.691 0.840
Bi 0.734 0.734 0.341
C 0.263 0.737 0.000
C 0.737 0.263 0.000



Computed, not measured: ReBiN2F after structural relaxation at the PBE-GGA level of DFT.

- polymorph energy (0 for the lowest one) (meV/atom) = 0
- magnetization (μB per cell) = 0.0
- final energy (eV/atom) = -6.900
- DOS at the Fermi energy (states/eV/f.u.) = 2.4
- symmetry = P4/mmm

a = 3.975 Å, b = 3.975 Å, c = 4.257 Å
α = 90.00°, β = 90.00°, γ = 90.00°
Positions (direct):
Re 0.000 0.000 0.000
Bi 0.500 0.500 0.500
N 0.000 0.500 0.000
N 0.500 0.000 0.000
F 0.000 0.000 0.500



Computed, not measured: Th2Si4Ni3Ir after structural relaxation at the PBE-GGA level of DFT.

- magnetization (μB per cell) = 0.0
- final energy (eV/atom) = -7.190
- DOS at the Fermi energy (states/eV/f.u.) = 6.3
- symmetry = P-4m2

a = 4.079 Å, b = 4.079 Å, c = 9.733 Å
α = 90.00°, β = 90.00°, γ = 90.00°
Positions (direct):
Th 0.000 0.500 0.245
Th 0.500 0.000 0.755
Si 0.000 0.000 0.000
Si 0.000 0.500 0.636
Si 0.500 0.000 0.364
Si 0.500 0.500 0.000
Ni 0.000 0.500 0.881
Ni 0.500 0.000 0.119
Ni 0.500 0.500 0.500
Ir 0.000 0.000 0.500



Computed, not measured: TaTeP after structural relaxation at the PBE-GGA level of DFT.

- polymorph energy (0 for the lowest one) (meV/atom) = 0
- magnetization (μB per cell) = 0.0
- final energy (eV/atom) = -7.117
- DOS at the Fermi energy (states/eV/f.u.) = 0.7
- symmetry = P3m1

a = 3.598 Å, b = 3.598 Å, c = 6.247 Å
α = 90.00°, β = 90.00°, γ = 120.00°
Positions (direct):
Ta 0.000 0.000 0.000
Te 0.667 0.333 0.313
P 0.333 0.667 0.786



Computed, not measured: InBiAu2 after structural relaxation at the PBE-GGA level of DFT.

- magnetization (μB per cell) = 0.0
- energy of formation (eV/atom) = 0.00
- final energy (eV/atom) = -3.297
- DOS at the Fermi energy (states/eV/f.u.) = 2.1
- symmetry = P4/mmm

a = 5.490 Å, b = 5.490 Å, c = 3.074 Å
α = 90.00°, β = 90.00°, γ = 90.00°
Positions (direct):
In 0.000 0.000 0.000
Bi 0.500 0.500 0.000
Au 0.000 0.500 0.500
Au 0.500 0.000 0.500



Computed, not measured: CuHg2Os after structural relaxation at the PBE-GGA level of DFT.

- polymorph energy (0 for the lowest one) (meV/atom) = 52
- magnetization (μB per cell) = 0.0
- energy of formation (eV/atom) = 0.65
- final energy (eV/atom) = -3.333
- DOS at the Fermi energy (states/eV/f.u.) = 2.0
- symmetry = Cmmm

a = 4.832 Å, b = 4.832 Å, c = 3.034 Å
α = 90.00°, β = 90.00°, γ = 104.83°
Positions (direct):
Cu 0.000 0.000 0.000
Hg 0.000 0.500 0.500
Hg 0.500 0.000 0.500
Os 0.500 0.500 0.000